The following is a DFT calculation (PBE) of a relaxed K2HfAu crystal.

The structure in POSCAR format:
```
K2HfAu
1.0
0.000 4.092 4.092
4.092 0.000 4.092
4.092 4.092 0.000
K Hf Au
2 1 1
direct
0.250 0.250 0.250
0.750 0.750 0.750
0.000 0.000 0.000
0.500 0.500 0.500
```

Values from the calculation:
Formation energy from the elements (eV/atom): 1.0653
DFT total energy (eV/atom): -2.791
SG: Fm-3m (225)
D(E_F) (states/eV per cell): 10.6

---

The following is a DFT calculation (PBE) of a relaxed K3HfAu crystal.

The structure in POSCAR format:
```
K3HfAu
1.0
6.630 0.000 0.000
0.000 6.630 0.000
0.000 0.000 6.630
K Hf Au
3 1 1
direct
0.000 0.000 0.500
0.000 0.500 0.000
0.500 0.000 0.000
0.000 0.000 0.000
0.500 0.500 0.500
```

Values from the calculation:
Formation energy from the elements (eV/atom): 1.2503
DFT total energy (eV/atom): -2.054
SG: Pm-3m (221)
D(E_F) (states/eV per cell): 5.7

---

The following is a DFT calculation (PBE) of a relaxed K2HfAu crystal.

The structure in POSCAR format:
```
K2HfAu
1.0
-5.840 5.840 2.618
5.840 -5.840 2.618
5.840 5.840 -2.618
K Hf Au
4 2 2
direct
0.375 0.245 0.370
0.755 0.125 0.130
0.875 0.005 0.630
0.995 0.625 0.870
0.250 0.750 0.500
0.500 0.500 0.000
0.000 0.000 0.000
0.750 0.250 0.500
```

Values from the calculation:
Formation energy from the elements (eV/atom): 0.6579
DFT total energy (eV/atom): -3.199
SG: I-42d (122)
D(E_F) (states/eV per cell): 7.2

---

The following is a DFT calculation (PBE) of a relaxed KHf3Au crystal.

The structure in POSCAR format:
```
KHf3Au
1.0
4.846 0.000 0.000
0.000 4.846 0.000
0.000 0.000 4.846
K Hf Au
1 3 1
direct
0.000 0.000 0.000
0.000 0.000 0.500
0.000 0.500 0.000
0.500 0.000 0.000
0.500 0.500 0.500
```

Values from the calculation:
Formation energy from the elements (eV/atom): 2.0971
DFT total energy (eV/atom): -4.750
SG: Pm-3m (221)
D(E_F) (states/eV per cell): 7.9

---

The following is a DFT calculation (PBE) of a relaxed K2Hf4Au crystal.

The structure in POSCAR format:
```
K2Hf4Au
1.0
-2.616 2.616 9.535
2.616 -2.616 9.535
2.616 2.616 -9.535
K Hf Au
2 4 1
direct
0.161 0.161 0.000
0.839 0.839 0.000
0.000 0.500 0.500
0.367 0.367 0.000
0.500 0.000 0.500
0.633 0.633 0.000
0.500 0.500 0.000
```

Values from the calculation:
Formation energy from the elements (eV/atom): 1.3159
DFT total energy (eV/atom): -5.154
SG: I4/mmm (139)
D(E_F) (states/eV per cell): 10.9

---

The following is a DFT calculation (PBE) of a relaxed KHf3Au crystal.

The structure in POSCAR format:
```
KHf3Au
1.0
5.284 0.000 0.000
0.000 5.284 0.000
0.000 0.000 5.284
K Hf Au
1 3 1
direct
0.000 0.000 0.000
0.000 0.500 0.500
0.500 0.000 0.500
0.500 0.500 0.000
0.500 0.500 0.500
```

Values from the calculation:
Formation energy from the elements (eV/atom): 0.8884
DFT total energy (eV/atom): -5.959
SG: Pm-3m (221)
D(E_F) (states/eV per cell): 4.2

---

The following is a DFT calculation (PBE) of a relaxed K3HfAu crystal.

The structure in POSCAR format:
```
K3HfAu
1.0
6.255 0.000 0.000
0.000 6.255 0.000
0.000 0.000 6.255
K Hf Au
3 1 1
direct
0.000 0.000 0.500
0.000 0.500 0.000
0.500 0.000 0.000
0.500 0.500 0.500
0.000 0.000 0.000
```

Values from the calculation:
Formation energy from the elements (eV/atom): 0.8933
DFT total energy (eV/atom): -2.411
SG: Pm-3m (221)
D(E_F) (states/eV per cell): 14.5

---

The following is a DFT calculation (PBE) of a relaxed KHf2Au crystal.

The structure in POSCAR format:
```
KHf2Au
1.0
-2.771 2.771 9.451
2.771 -2.771 9.451
2.771 2.771 -9.451
K Hf Au
2 4 2
direct
0.000 0.000 0.000
0.750 0.250 0.500
0.358 0.625 0.233
0.375 0.608 0.733
0.392 0.125 0.767
0.875 0.642 0.267
0.250 0.750 0.500
0.500 0.500 0.000
```

Values from the calculation:
Formation energy from the elements (eV/atom): 0.9288
DFT total energy (eV/atom): -5.142
SG: I-42d (122)
D(E_F) (states/eV per cell): 9.2

---

The following is a DFT calculation (PBE) of a relaxed KHf2Au2 crystal.

The structure in POSCAR format:
```
KHf2Au2
1.0
8.677 0.000 0.000
0.000 8.677 0.000
0.000 0.000 3.001
K Hf Au
2 4 4
direct
0.000 0.000 0.000
0.500 0.500 0.000
0.123 0.377 0.000
0.377 0.877 0.000
0.623 0.123 0.000
0.877 0.623 0.000
0.170 0.670 0.500
0.330 0.170 0.500
0.670 0.830 0.500
0.830 0.330 0.500
```

Values from the calculation:
Formation energy from the elements (eV/atom): -0.0725
DFT total energy (eV/atom): -5.584
SG: P4/mbm (127)
D(E_F) (states/eV per cell): 18.9

---

The following is a DFT calculation (PBE) of a relaxed KHf2AuS crystal.

The structure in POSCAR format:
```
KHf2AuS
1.0
5.104 0.000 0.000
0.000 5.104 0.000
0.000 0.000 6.042
K Hf Au S
1 2 1 1
direct
0.000 0.000 0.000
0.000 0.500 0.500
0.500 0.000 0.500
0.000 0.000 0.500
0.500 0.500 0.000
```

Values from the calculation:
DFT total energy (eV/atom): -4.974
Formation energy from raw total energies (meV/atom): 708
SG: P4/mmm (123)
D(E_F) (states/eV per cell): 7.7

---

The following is a DFT calculation (PBE) of a relaxed K2HfAuS4 crystal.

The structure in POSCAR format:
```
K2HfAuS4
1.0
-3.706 3.706 4.043
3.706 -3.706 4.043
3.706 3.706 -4.043
K Hf Au S
2 1 1 4
direct
0.000 0.000 0.000
0.750 0.250 0.500
0.250 0.750 0.500
0.500 0.500 0.000
0.253 0.691 0.120
0.309 0.429 0.563
0.571 0.134 0.880
0.866 0.747 0.437
```

Values from the calculation:
DFT total energy (eV/atom): -4.989
Formation energy from raw total energies (meV/atom): -997
SG: I-4 (82)
D(E_F) (states/eV per cell): 3.7

---

The following is a DFT calculation (PBE) of a relaxed K2HfAuSe4 crystal.

The structure in POSCAR format:
```
K2HfAuSe4
1.0
-3.883 3.883 4.164
3.883 -3.883 4.164
3.883 3.883 -4.164
K Hf Au Se
2 1 1 4
direct
0.000 0.000 0.000
0.750 0.250 0.500
0.250 0.750 0.500
0.500 0.500 0.000
0.247 0.135 0.560
0.313 0.753 0.887
0.574 0.687 0.440
0.865 0.426 0.113
```

Values from the calculation:
DFT total energy (eV/atom): -4.580
Formation energy from raw total energies (meV/atom): -909
SG: I-4 (82)
D(E_F) (states/eV per cell): 3.7